A plane-wave DFT calculation with GGA-PBE was carried out for a geometry-optimized SrMn2Br structure.

Volume   218.2 Å³ per cell
Electronic total energy   -41.54 eV/cell
Total magnetization   16.87 μB per cell
Polymorph energy (0 for the lowest one)   227 meV per atom

abc: 4.1769 4.1769 12.5042
angles: 90.00 90.00 90.00
With the nearest neighbours (Å) after each atom.
Space group I4/mmm (No. 139)
Asymmetric unit:
Sr 0.0000 0.0000 0.0000 (multiplicity 2)  4 Br 2.95
Mn 0.0000 0.5000 0.2500 (multiplicity 4)  4 Mn 2.95
Br 0.0000 0.0000 0.5000 (multiplicity 2)  4 Sr 2.95



A plane-wave DFT calculation with GGA-PBE was carried out for a geometry-optimized Mg4Cd5Bi structure.

Volume   231.3 Å³ per cell
Formation energy   -0.048 eV/atom
Electronic total energy   -15.31 eV/cell
Total magnetization   0.00 μB per cell

abc: 3.7308 3.7308 16.6173
angles: 90.00 90.00 90.00
With the nearest neighbours (Å) after each atom.
Space group P4/mmm (No. 123)
Asymmetric unit:
Mg 0.0000 0.0000 0.0957 (multiplicity 2)  8 Cd 3.08, 2 Mg 3.18-3.19
Mg 0.0000 0.0000 0.2879 (multiplicity 2)  8 Cd 3.07-3.09, 1 Mg 3.19
Cd 0.5000 0.5000 0.0000 (multiplicity 1)  8 Mg 3.08, 2 Cd 3.18
Cd 0.5000 0.5000 0.1913 (multiplicity 2)  8 Mg 3.08-3.09, 2 Cd 3.17-3.18
Cd 0.5000 0.5000 0.3821 (multiplicity 2)  4 Mg 3.07, 1 Cd 3.17, 4 Bi 3.29
Bi 0.0000 0.0000 0.5000 (multiplicity 1)  8 Cd 3.29, 2 Mg 3.52



A plane-wave DFT calculation with GGA-PBE was carried out for a geometry-optimized BaCa2Sc structure.

Volume   163.4 Å³ per cell
Formation energy   0.277 eV/atom
Electronic total energy   -11.15 eV/cell
Total magnetization   1.04 μB per cell
Polymorph energy (0 for the lowest one)   99 meV per atom

abc: 5.5262 5.5262 5.3507
angles: 90.00 90.00 90.00
With the nearest neighbours (Å) after each atom.
Space group P4/mmm (No. 123)
Asymmetric unit:
Ba 0.0000 0.0000 0.0000 (multiplicity 1)  8 Ca 3.85, 4 Sc 3.91
Ca 0.0000 0.5000 0.5000 (multiplicity 2)  4 Ba 3.85, 4 Sc 3.85, 4 Ca 3.91
Sc 0.5000 0.5000 0.0000 (multiplicity 1)  8 Ca 3.85, 4 Ba 3.91



A plane-wave DFT calculation with GGA-PBE was carried out for a geometry-optimized AcCe2GaCo structure.

Volume   150.5 Å³ per cell
Formation energy   -0.135 eV/atom
Electronic total energy   -26.78 eV/cell
Total magnetization   0.62 μB per cell

abc: 4.9283 4.9283 6.1966
angles: 90.00 90.00 90.00
With the nearest neighbours (Å) after each atom.
Space group P4mm (No. 99)
Asymmetric unit:
Ac 0.0000 0.0000 0.0000 (multiplicity 1)  2 Co 3.05-3.15
Ce 0.0000 0.5000 0.4686 (multiplicity 2)  2 Co 2.48
Ga 0.5000 0.5000 0.1368 (multiplicity 1)  4 Ce 3.21, 4 Ac 3.59
Co 0.0000 0.0000 0.5080 (multiplicity 1)  4 Ce 2.48



A plane-wave DFT calculation with GGA-PBE was carried out for a geometry-optimized LiZn2Au structure.

Volume   124.2 Å³ per cell
Formation energy   -0.240 eV/atom
Electronic total energy   -17.40 eV/cell
Total magnetization   0.00 μB per cell
Polymorph energy (0 for the lowest one)   122 meV per atom

abc: 9.0632 2.7505 5.0234
angles: 90.00 97.40 90.00
With the nearest neighbours (Å) after each atom.
Space group Cm (No. 8)
Asymmetric unit:
Li 0.0000 0.0000 0.0000 (multiplicity 2)  3 Au 2.66-2.78, 7 Zn 2.70-2.89, 2 Li 2.75
Zn 0.2417 0.0000 0.7367 (multiplicity 2)  3 Li 2.70-2.89, 5 Zn 2.73-2.75, 4 Au 2.82-2.91
Zn 0.4980 0.0000 0.5034 (multiplicity 2)  5 Zn 2.73-2.75, 3 Au 2.83, 4 Li 2.85-2.88
Au 0.2509 0.5000 0.2280 (multiplicity 2)  3 Li 2.66-2.78, 2 Au 2.75, 7 Zn 2.82-2.91



A plane-wave DFT calculation with GGA-PBE was carried out for a geometry-optimized NaHoMg4 structure.

Volume   633.4 Å³ per cell
Formation energy   0.059 eV/atom
Electronic total energy   -47.69 eV/cell
Total magnetization   0.00 μB per cell

abc: 8.5881 8.5881 8.5881
angles: 90.00 90.00 90.00
With the nearest neighbours (Å) after each atom.
Space group F-43m (No. 216)
Asymmetric unit:
Na 0.0000 0.0000 0.0000 (multiplicity 4)  12 Mg 3.56, 4 Ho 3.72
Ho 0.2500 0.2500 0.2500 (multiplicity 4)  12 Mg 3.56, 4 Na 3.72
Mg 0.1243 0.1243 0.6243 (multiplicity 16)  6 Mg 3.02-3.05



A plane-wave DFT calculation with GGA-PBE was carried out for a geometry-optimized ReSbF3 structure.

Volume   96.8 Å³ per cell
Electronic total energy   -23.46 eV/cell
Total magnetization   5.00 μB per cell
Polymorph energy (0 for the lowest one)   153 meV per atom

abc: 4.5909 4.5909 4.5909
angles: 90.00 90.00 90.00
With the nearest neighbours (Å) after each atom.
Space group Pm-3m (No. 221)
Asymmetric unit:
Re 0.0000 0.0000 0.0000 (multiplicity 1)  12 F 3.25
Sb 0.5000 0.5000 0.5000 (multiplicity 1)  6 F 2.30
F 0.0000 0.5000 0.5000 (multiplicity 3)  2 Sb 2.30



A plane-wave DFT calculation with GGA-PBE was carried out for a geometry-optimized CaLa2TlCl structure.

Volume   196.2 Å³ per cell
Electronic total energy   -15.36 eV/cell
Total magnetization   0.00 μB per cell

abc: 6.3160 6.3160 4.9186
angles: 90.00 90.00 90.00
With the nearest neighbours (Å) after each atom.
Space group P4/mmm (No. 123)
Asymmetric unit:
Ca 0.0000 0.0000 0.0000 (multiplicity 1)  2 Cl 2.46
La 0.0000 0.5000 0.0000 (multiplicity 2)  2 Ca 3.16
Tl 0.5000 0.5000 0.5000 (multiplicity 1)  8 La 4.00, 4 Cl 4.47
Cl 0.0000 0.0000 0.5000 (multiplicity 1)  2 Ca 2.46